No. 1
Sr2Zn6Pt: optimized geometry, PBE.

abc: 5.994 5.935 5.935
angles: 60.02 90.02 90.02
Atoms (fractional coordinates):
Sr: 0.150 0.333 0.333
Sr: 0.850 0.667 0.667
Pt: 0.000 0.000 0.000
Zn: 0.664 0.172 0.172
Zn: 0.336 0.828 0.344
Zn: 0.664 0.172 0.656
Zn: 0.664 0.656 0.172
Zn: 0.336 0.828 0.828
Zn: 0.336 0.344 0.828

Results
Calculated total energy in eV/atom: -2.23

---

No. 2
Sr3ZnPt2: optimized geometry, PBE.

abc: 4.421 12.572 12.257
angles: 90.00 90.00 90.00
Atoms (fractional coordinates):
Sr: 0.250 0.120 0.558
Sr: 0.750 0.191 0.304
Sr: 0.750 0.309 0.804
Sr: 0.750 0.559 0.624
Sr: 0.750 0.620 0.942
Sr: 0.250 0.441 0.376
Sr: 0.250 0.809 0.696
Sr: 0.250 0.059 0.876
Sr: 0.750 0.941 0.124
Sr: 0.250 0.380 0.058
Sr: 0.250 0.691 0.196
Sr: 0.750 0.880 0.442
Zn: 0.750 0.631 0.372
Zn: 0.250 0.131 0.128
Zn: 0.750 0.869 0.872
Zn: 0.250 0.369 0.628
Pt: 0.750 0.983 0.693
Pt: 0.250 0.483 0.807
Pt: 0.250 0.820 0.967
Pt: 0.750 0.517 0.193
Pt: 0.250 0.680 0.467
Pt: 0.750 0.320 0.533
Pt: 0.750 0.180 0.033
Pt: 0.250 0.017 0.307

Results
Calculated total energy in eV/atom: -3.77

---

No. 3
SrZn8Pt4: optimized geometry, PBE.

abc: 5.530 6.868 6.868
angles: 80.67 66.26 66.26
Atoms (fractional coordinates):
Pt: 0.500 0.000 0.500
Pt: 0.000 0.500 0.000
Pt: 0.000 0.000 0.500
Pt: 0.500 0.500 0.000
Zn: 0.275 0.225 0.225
Zn: 0.652 0.348 0.348
Zn: 0.500 0.775 0.225
Zn: 0.725 0.775 0.775
Zn: 0.500 0.225 0.775
Zn: 0.000 0.348 0.652
Zn: 0.348 0.652 0.652
Zn: 0.000 0.652 0.348
Sr: 0.000 0.000 0.000

Results
Calculated total energy in eV/atom: -3.27